Computed, not measured: a relaxed K2BiO crystal at the PBE level of DFT.

Computed properties:
Uncorrected energy = -43.64 eV/cell
Raw formation energy = 11.9 kJ/mol of formula units
Density of states at the Fermi level = 0.875 states/eV per atom

Cell: 8.0742 8.0742 8.0742 Å, 90.00 90.00 90.00°
Space group Fm-3m (No. 225)
Inequivalent atoms, fractional coordinates:
K (0.2500, 0.2500, 0.2500) x8
Bi (0.0000, 0.0000, 0.0000) x4
O (0.0000, 0.0000, 0.5000) x4

***

Computed, not measured: a relaxed K3Bi2O6 crystal at the PBE level of DFT.

Computed properties:
Uncorrected energy = -108.48 eV/cell
Raw formation energy = -1296.2 kJ/mol of formula units
Density of states at the Fermi level = 0.046 states/eV per atom

Cell: 4.1922 4.1922 23.7937 Å, 90.00 90.00 90.00°
Space group I4/mmm (No. 139)
Inequivalent atoms, fractional coordinates:
K (0.0000, 0.0000, 0.0000) x2
K (0.0000, 0.0000, 0.1969) x4
Bi (0.0000, 0.0000, 0.3944) x4
O (0.0000, 0.0000, 0.3087) x4
O (0.0000, 0.5000, 0.0818) x8

***

Computed, not measured: a relaxed KBi3O crystal at the PBE level of DFT.

Computed properties:
Uncorrected energy = -18.86 eV/cell
Raw formation energy = -111.8 kJ/mol of formula units
Density of states at the Fermi level = 0.877 states/eV per atom

Cell: 5.1285 5.1285 5.1285 Å, 90.00 90.00 90.00°
Space group Pm-3m (No. 221)
Inequivalent atoms, fractional coordinates:
K (0.0000, 0.0000, 0.0000) x1
Bi (0.0000, 0.5000, 0.5000) x3
O (0.5000, 0.5000, 0.5000) x1

***

Computed, not measured: a relaxed K8BiO6 crystal at the PBE level of DFT.

Computed properties:
Uncorrected energy = -117.76 eV/cell
Raw formation energy = -1589.1 kJ/mol of formula units
Density of states at the Fermi level = 0.324 states/eV per atom

Cell: 7.7218 8.2332 11.0391 Å, 90.00 90.00 90.00°
Space group Pmn2_1 (No. 31)
Inequivalent atoms, fractional coordinates:
K (0.0000, 0.1786, 0.0000) x2
K (0.0000, 0.1856, 0.4505) x2
K (0.1984, 0.6792, 0.1052) x4
K (0.2087, 0.5845, 0.7897) x4
K (0.2183, 0.9610, 0.7611) x4
Bi (0.0000, 0.7118, 0.4625) x2
O (0.0000, 0.2454, 0.2317) x2
O (0.0000, 0.4832, 0.5688) x2
O (0.0000, 0.7806, 0.9274) x2
O (0.0000, 0.9229, 0.5760) x2
O (0.2192, 0.7308, 0.3448) x4

***

Question: Which formula does entry 1 have?
Answer: K2BiO